Record 1
ScHgRh2: relaxed, PBE.

Calculated values
**Total energy**: -23.336 eV per cell
**ΔH_f (0 K)**: -0.500 eV per atom
**Magnetic moment**: 0.000 μB per atom
**DOS(E_F)**: 1.9 states/eV per cell

POSCAR file:
```
ScHgRh2
1.0
-0.3901 -2.5818 1.9340
3.1823 -0.6941 -0.2846
4.4303 2.9615 4.8472
Hg Sc Rh
1 1 2
Direct
0.5000 0.7500 0.7500 Hg
0.5000 0.2500 0.2500 Sc
0.0000 0.5127 0.4868 Rh
0.0000 0.9873 0.0132 Rh
```



Record 2
ScNbInF2: relaxed, PBE.

Calculated values
**Total energy**: -30.152 eV per cell
**Raw formation energy**: -1.454 eV/atom
**Magnetic moment**: 0.110 μB per atom
**DOS(E_F)**: 3.6 states/eV per cell

POSCAR file:
```
ScNbInF2
1.0
4.0003 0.0000 0.0000
0.0000 6.6414 0.0000
0.0000 0.0000 4.0003
Sc Nb F In
1 1 2 1
Direct
0.0000 0.0000 0.0000 Sc
0.0000 0.5000 0.0000 Nb
0.5000 0.0000 0.0000 F
0.0000 0.0000 0.5000 F
0.5000 0.5000 0.5000 In
```



Record 3
HWCl2: relaxed, PBE.

Calculated values
**Energy above the lowest structure with this stoichiometry**: 4.89 kJ per mole of atoms
**Total energy**: -18.005 eV per cell
**Magnetic moment**: 0.000 μB per atom
**DOS(E_F)**: 1.8 states/eV per cell

POSCAR file:
```
HWCl2
1.0
1.7623 0.0000 7.2179
-0.8811 1.5262 7.2179
-0.8811 -1.5262 7.2179
Cl H W
2 1 1
Direct
0.8947 0.8947 0.8947 Cl
0.1053 0.1053 0.1053 Cl
0.5000 0.5000 0.5000 H
0.0000 0.0000 0.0000 W
```